DFT (PBE+U) results for crystalline UAlFeO6 at its relaxed geometry.

Structure (POSCAR):
```
UAlFeO6
1.0
4.6828 0.0000 0.0000
0.0000 4.6828 0.0000
0.0000 0.0000 9.1310
U Al Fe O
2 2 2 12
Direct
0.0000 0.0000 0.0000 U
0.5000 0.5000 0.5000 U
0.0000 0.0000 0.6638 Al
0.5000 0.5000 0.1638 Al
0.0000 0.0000 0.3333 Fe
0.5000 0.5000 0.8333 Fe
0.1807 0.1807 0.5026 O
0.1965 0.1965 0.8222 O
0.2025 0.2025 0.1726 O
0.2975 0.7025 0.6726 O
0.3035 0.6965 0.3222 O
0.3193 0.6807 0.0026 O
0.6807 0.3193 0.0026 O
0.6965 0.3035 0.3222 O
0.7025 0.2975 0.6726 O
0.7975 0.7975 0.1726 O
0.8035 0.8035 0.8222 O
0.8193 0.8193 0.5026 O
```

Summary:
Symmetry = P4_2nm (102)
DFT total energy = -7.99 eV per atom
Theoretical density = 6.91 g/cm³
M_tot = 1.99 Bohr magnetons per cell